# 1
This record from Alexandria describes Pa5Se after structural relaxation. The functional is GGA-PBE.

Calculated values
Calculated volume   139.9 Å³/cell
Raw formation energy   -0.27 eV/atom

Lattice parameters (Å, degrees): 7.2573 7.2573 4.4382 90.00 90.00 143.24
Element x y z (fractional)
Pa 0.0000 0.0000 0.0000
Pa 0.1586 0.8414 0.5000
Pa 0.3390 0.6610 0.0000
Pa 0.6610 0.3390 0.0000
Pa 0.8414 0.1586 0.5000
Se 0.5000 0.5000 0.5000

---

# 2
This record from Alexandria describes CdIn3Re after structural relaxation. The functional is GGA-PBE.

Calculated values
Formation enthalpy at 0 K   1494.5 meV per atom
Calculated volume   155.8 Å³/cell
Distance to the lowest polymorph of the same formula   987 meV/atom

Lattice parameters (Å, degrees): 5.3812 5.3812 5.3812 90.00 90.00 90.00
Element x y z (fractional)
Cd 0.0000 0.0000 0.0000
In 0.0000 0.0000 0.5000
In 0.0000 0.5000 0.0000
In 0.5000 0.0000 0.0000
Re 0.5000 0.5000 0.5000

---

# 3
This record from Alexandria describes InMoOs2 after structural relaxation. The functional is GGA-PBE.

Calculated values
Formation enthalpy at 0 K   455.9 meV per atom
Calculated volume   64.0 Å³/cell

Lattice parameters (Å, degrees): 5.0716 5.0716 5.0716 135.11 135.11 65.36
Element x y z (fractional)
In 0.0000 0.0000 0.0000
Mo 0.2500 0.7500 0.5000
Os 0.5000 0.5000 0.0000
Os 0.7500 0.2500 0.5000

---

# 4
This record from Alexandria describes LiLaMgI2 after structural relaxation. The functional is GGA-PBE.

Calculated values
Calculated volume   167.9 Å³/cell
Raw formation energy   -0.05 eV/atom

Lattice parameters (Å, degrees): 5.6867 5.6867 5.1919 90.00 90.00 90.00
Element x y z (fractional)
Li 0.0000 0.0000 0.0000
La 0.5000 0.5000 0.0000
Mg 0.0000 0.0000 0.5000
I 0.0000 0.5000 0.5000
I 0.5000 0.0000 0.5000

---

# 5
This record from Alexandria describes K2MgCd3Sb4 after structural relaxation. The functional is GGA-PBE.

Calculated values
Calculated volume   310.0 Å³/cell
Raw formation energy   -0.31 eV/atom

Lattice parameters (Å, degrees): 5.1319 5.1319 11.7702 90.00 90.00 90.00
Element x y z (fractional)
K 0.0000 0.5000 0.2401
K 0.5000 0.0000 0.7599
Mg 0.0000 0.0000 0.5000
Cd 0.0000 0.5000 0.8703
Cd 0.5000 0.0000 0.1297
Cd 0.5000 0.5000 0.5000
Sb 0.0000 0.0000 0.0000
Sb 0.0000 0.5000 0.6275
Sb 0.5000 0.0000 0.3725
Sb 0.5000 0.5000 0.0000

---

# 6
This record from Alexandria describes BeV2Rh after structural relaxation. The functional is GGA-PBE.

Calculated values
Formation enthalpy at 0 K   -116.6 meV per atom
Calculated volume   49.9 Å³/cell

Lattice parameters (Å, degrees): 3.0847 3.0847 5.2485 90.00 90.00 90.00
Element x y z (fractional)
Be 0.0000 0.0000 0.0000
V 0.5000 0.5000 0.2177
V 0.5000 0.5000 0.7823
Rh 0.0000 0.0000 0.5000

---

# 7
This record from Alexandria describes Sb6IrPt after structural relaxation. The functional is GGA-PBE.

Calculated values
Calculated volume   426.6 Å³/cell
Raw formation energy   -0.31 eV/atom

Lattice parameters (Å, degrees): 8.1971 8.1971 9.4833 125.09 125.09 70.66
Element x y z (fractional)
Sb 0.1514 0.8434 0.6556
Sb 0.1566 0.8486 0.3444
Sb 0.1877 0.5043 0.8426
Sb 0.3372 0.3372 0.4904
Sb 0.3464 0.3464 0.1918
Sb 0.4957 0.8123 0.1574
Sb 0.5043 0.1877 0.8426
Sb 0.6536 0.6536 0.8082
Sb 0.6628 0.6628 0.5096
Sb 0.8123 0.4957 0.1574
Sb 0.8434 0.1514 0.6556
Sb 0.8486 0.1566 0.3444
Ir 0.0000 0.5000 0.5000
Ir 0.5000 0.0000 0.5000
Pt 0.0000 0.5000 0.0000
Pt 0.5000 0.0000 0.0000

---

# 8
This record from Alexandria describes ScZn2Mo after structural relaxation. The functional is GGA-PBE.

Calculated values
Formation enthalpy at 0 K   182.5 meV per atom
Calculated volume   68.4 Å³/cell
Distance to the lowest polymorph of the same formula   255 meV/atom

Lattice parameters (Å, degrees): 9.2706 9.2706 9.2706 18.27 18.27 18.27
Element x y z (fractional)
Sc 0.0000 0.0000 0.0000
Zn 0.2460 0.2460 0.2460
Zn 0.7540 0.7540 0.7540
Mo 0.5000 0.5000 0.5000

---

# 9
This record from Alexandria describes SmY2Zn2 after structural relaxation. The functional is GGA-PBE.

Calculated values
Formation enthalpy at 0 K   -266.1 meV per atom
Calculated volume   252.8 Å³/cell
Distance to the lowest polymorph of the same formula   0 meV/atom

Lattice parameters (Å, degrees): 3.6363 5.2205 13.4414 90.00 97.78 90.00
Element x y z (fractional)
Sm 0.1440 0.2500 0.2858
Sm 0.8560 0.7500 0.7142
Y 0.0467 0.7500 0.0929
Y 0.2318 0.7500 0.4642
Y 0.7682 0.2500 0.5358
Y 0.9533 0.2500 0.9071
Zn 0.3599 0.2500 0.7201
Zn 0.4527 0.7500 0.9052
Zn 0.5473 0.2500 0.0948
Zn 0.6401 0.7500 0.2799

---

# 10
This record from Alexandria describes K2SmMnS4 after structural relaxation. The functional is GGA-PBE.

Calculated values
Calculated volume   395.9 Å³/cell
Raw formation energy   -1.21 eV/atom

Lattice parameters (Å, degrees): 8.3168 8.3168 8.3168 123.53 119.66 87.29
Element x y z (fractional)
K 0.0000 0.0000 0.0000
K 0.5000 0.0000 0.0000
K 0.5000 0.0000 0.5000
K 0.5000 0.5000 0.5000
Sm 0.0000 0.5000 0.5000
Sm 0.5000 0.5000 0.0000
Mn 0.0000 0.0000 0.5000
Mn 0.0000 0.5000 0.0000
S 0.1742 0.7407 0.4335
S 0.1929 0.2593 0.9335
S 0.2434 0.2646 0.5211
S 0.2434 0.7223 0.9789
S 0.7566 0.2777 0.0211
S 0.7566 0.7354 0.4789
S 0.8071 0.7407 0.0665
S 0.8258 0.2593 0.5665

---

# 11
This record from Alexandria describes BiHW3 after structural relaxation. The functional is GGA-PBE.

Calculated values
Calculated volume   130.4 Å³/cell
Distance to the lowest polymorph of the same formula   2924 meV/atom

Lattice parameters (Å, degrees): 5.0716 5.0716 5.0716 90.00 90.00 90.00
Element x y z (fractional)
Bi 0.0000 0.0000 0.0000
H 0.5000 0.5000 0.5000
W 0.0000 0.0000 0.5000
W 0.0000 0.5000 0.0000
W 0.5000 0.0000 0.0000

---

# 12
This record from Alexandria describes Tl2OsRu after structural relaxation. The functional is GGA-PBE.

Calculated values
Formation enthalpy at 0 K   939.9 meV per atom
Calculated volume   72.2 Å³/cell
Distance to the lowest polymorph of the same formula   445 meV/atom

Lattice parameters (Å, degrees): 4.6745 4.6745 4.6745 60.00 60.00 60.00
Element x y z (fractional)
Tl 0.2500 0.2500 0.2500
Tl 0.7500 0.7500 0.7500
Os 0.0000 0.0000 0.0000
Ru 0.5000 0.5000 0.5000

---

# 13
This record from Alexandria describes CrRh2 after structural relaxation. The functional is GGA-PBE.

Calculated values
Formation enthalpy at 0 K   -115.9 meV per atom
Calculated volume   80.4 Å³/cell

Lattice parameters (Å, degrees): 2.6803 2.6803 12.9280 90.00 90.00 119.98
Element x y z (fractional)
Cr 0.0007 0.9993 0.7500
Cr 0.9993 0.0007 0.2500
Rh 0.3330 0.6670 0.0939
Rh 0.3330 0.6670 0.4061
Rh 0.6670 0.3330 0.5939
Rh 0.6670 0.3330 0.9061

---

# 14
This record from Alexandria describes Nb2GaTcN after structural relaxation. The functional is GGA-PBE.

Calculated values
Calculated volume   73.3 Å³/cell
Raw formation energy   -0.40 eV/atom

Lattice parameters (Å, degrees): 4.2316 4.2316 4.0946 90.00 90.00 90.00
Element x y z (fractional)
Nb 0.0000 0.5000 0.0000
Nb 0.5000 0.0000 0.0000
Ga 0.0000 0.0000 0.5000
Tc 0.5000 0.5000 0.5000
N 0.5000 0.5000 0.0000

---

# 15
This record from Alexandria describes YMn2 after structural relaxation. The functional is GGA-PBE.

Calculated values
Formation enthalpy at 0 K   721.8 meV per atom
Calculated volume   53.3 Å³/cell

Lattice parameters (Å, degrees): 4.6972 4.6972 4.6972 142.76 119.86 72.90
Element x y z (fractional)
Y 0.0000 0.0000 0.0000
Mn 0.3631 0.3631 0.0000
Mn 0.6369 0.6369 0.0000

---

# 16
This record from Alexandria describes KLiGe2Ir after structural relaxation. The functional is GGA-PBE.

Calculated values
Formation enthalpy at 0 K   -134.9 meV per atom
Calculated volume   118.2 Å³/cell

Lattice parameters (Å, degrees): 4.7968 4.7968 5.1357 90.00 90.00 90.00
Element x y z (fractional)
K 0.0000 0.0000 0.0000
Li 0.5000 0.5000 0.0000
Ge 0.0000 0.5000 0.5000
Ge 0.5000 0.0000 0.5000
Ir 0.5000 0.5000 0.5000

---

# 17
This record from Alexandria describes AlNiSb2 after structural relaxation. The functional is GGA-PBE.

Calculated values
Calculated volume   210.2 Å³/cell
Raw formation energy   0.08 eV/atom

Lattice parameters (Å, degrees): 7.7317 7.7317 7.7317 137.29 137.29 61.99
Element x y z (fractional)
Al 0.0000 0.0000 0.0000
Al 0.7500 0.2500 0.5000
Ni 0.2500 0.7500 0.5000
Ni 0.5000 0.5000 0.0000
Sb 0.1664 0.6250 0.0414
Sb 0.3750 0.4164 0.5414
Sb 0.5836 0.1250 0.9586
Sb 0.8750 0.8336 0.4586

---

# 18
This record from Alexandria describes MnBe2Cl after structural relaxation. The functional is GGA-PBE.

Calculated values
Calculated volume   52.6 Å³/cell
Raw formation energy   1.06 eV/atom
Distance to the lowest polymorph of the same formula   986 meV/atom

Lattice parameters (Å, degrees): 4.2051 4.2051 4.2051 60.00 60.00 60.00
Element x y z (fractional)
Mn 0.0000 0.0000 0.0000
Be 0.2500 0.2500 0.2500
Be 0.7500 0.7500 0.7500
Cl 0.5000 0.5000 0.5000

---

# 19
This record from Alexandria describes CuSeBr2 after structural relaxation. The functional is GGA-PBE.

Calculated values
Calculated volume   114.8 Å³/cell
Raw formation energy   0.21 eV/atom
Distance to the lowest polymorph of the same formula   378 meV/atom

Lattice parameters (Å, degrees): 3.7596 3.8055 8.0231 90.00 90.00 90.00
Element x y z (fractional)
Cu 0.0000 0.0000 0.0000
Se 0.5000 0.0000 0.5000
Br 0.0000 0.5000 0.5000
Br 0.5000 0.5000 0.0000

---

# 20
This record from Alexandria describes Na12Bi3O5 after structural relaxation. The functional is GGA-PBE.

Calculated values
Calculated volume   1833.5 Å³/cell
Raw formation energy   -0.64 eV/atom

Lattice parameters (Å, degrees): 13.3547 13.3547 13.3547 109.47 109.47 109.47
Element x y z (fractional)
Na 0.0057 0.6848 0.0935
Na 0.0057 0.8209 0.9121
Na 0.0879 0.5935 0.9088
Na 0.0879 0.9943 0.1791
Na 0.0912 0.6791 0.6848
Na 0.0912 0.9121 0.4065
Na 0.0935 0.0057 0.6848
Na 0.0935 0.5879 0.4088
Na 0.1791 0.0879 0.9943
Na 0.1791 0.5912 0.1848
Na 0.1848 0.1791 0.5912
Na 0.1848 0.5057 0.5935
Na 0.3152 0.9065 0.9943
Na 0.3152 0.9088 0.3209
Na 0.3209 0.3152 0.9088
Na 0.3209 0.5057 0.4121
Na 0.4065 0.0912 0.9121
Na 0.4065 0.8152 0.4943
Na 0.4088 0.0935 0.5879
Na 0.4088 0.8152 0.8209
Na 0.4121 0.3209 0.5057
Na 0.4121 0.5912 0.9065
Na 0.4943 0.4065 0.8152
Na 0.4943 0.5879 0.6791
Na 0.5057 0.4121 0.3209
Na 0.5057 0.5935 0.1848
Na 0.5879 0.4088 0.0935
Na 0.5879 0.6791 0.4943
Na 0.5912 0.1848 0.1791
Na 0.5912 0.9065 0.4121
Na 0.5935 0.1848 0.5057
Na 0.5935 0.9088 0.0879
Na 0.6791 0.4943 0.5879
Na 0.6791 0.6848 0.0912
Na 0.6848 0.0912 0.6791
Na 0.6848 0.0935 0.0057
Na 0.8152 0.4943 0.4065
Na 0.8152 0.8209 0.4088
Na 0.8209 0.4088 0.8152
Na 0.8209 0.9121 0.0057
Na 0.9065 0.4121 0.5912
Na 0.9065 0.9943 0.3152
Na 0.9088 0.0879 0.5935
Na 0.9088 0.3209 0.3152
Na 0.9121 0.0057 0.8209
Na 0.9121 0.4065 0.0912
Na 0.9943 0.1791 0.0879
Na 0.9943 0.3152 0.9065
Bi 0.1250 0.2500 0.3750
Bi 0.1250 0.3750 0.7500
Bi 0.2500 0.3750 0.1250
Bi 0.2500 0.8750 0.6250
Bi 0.3750 0.1250 0.2500
Bi 0.3750 0.7500 0.1250
Bi 0.6250 0.2500 0.8750
Bi 0.6250 0.8750 0.7500
Bi 0.7500 0.1250 0.3750
Bi 0.7500 0.6250 0.8750
Bi 0.8750 0.6250 0.2500
Bi 0.8750 0.7500 0.6250
O 0.0000 0.0000 0.0000
O 0.0000 0.0000 0.5000
O 0.0000 0.5000 0.0000
O 0.0000 0.5000 0.5000
O 0.1250 0.7500 0.8750
O 0.1250 0.8750 0.2500
O 0.2500 0.1250 0.8750
O 0.2500 0.6250 0.3750
O 0.3750 0.2500 0.6250
O 0.3750 0.6250 0.7500
O 0.5000 0.0000 0.0000
O 0.5000 0.0000 0.5000
O 0.5000 0.5000 0.0000
O 0.5000 0.5000 0.5000
O 0.6250 0.3750 0.2500
O 0.6250 0.7500 0.3750
O 0.7500 0.3750 0.6250
O 0.7500 0.8750 0.1250
O 0.8750 0.1250 0.7500
O 0.8750 0.2500 0.1250